1.
{
  "formula": "AcLaPmAg",
  "functional": "PBE",
  "state": "optimized geometry",
  "delta_e_f_ev_per_atom": -0.1098,
  "de_polymorph_mev_per_atom": 0,
  "lattice_angstrom": [[3.830, 0.000, 0.000], [0.000, 3.830, 0.000], [0.000, 0.000, 9.021]],
  "species": ["Ac", "La", "Pm", "Ag"],
  "frac_coords": [[0.000, 0.000, 0.000], [0.500, 0.500, 0.699], [0.500, 0.500, 0.290], [0.000, 0.000, 0.484]]
}

=====

2.
{
  "formula": "AcLaPmAg",
  "functional": "PBE",
  "state": "optimized geometry",
  "delta_e_f_ev_per_atom": 0.1381,
  "de_polymorph_mev_per_atom": 248,
  "lattice_angstrom": [[0.000, 4.034, 4.034], [4.034, 0.000, 4.034], [4.034, 4.034, 0.000]],
  "species": ["Ac", "La", "Pm", "Ag"],
  "frac_coords": [[0.000, 0.000, 0.000], [0.250, 0.250, 0.250], [0.750, 0.750, 0.750], [0.500, 0.500, 0.500]]
}

=====

3.
{
  "formula": "AcLaPrAg",
  "functional": "PBE",
  "state": "optimized geometry",
  "delta_e_f_ev_per_atom": 0.1302,
  "de_polymorph_mev_per_atom": 240,
  "lattice_angstrom": [[0.000, 4.054, 4.054], [4.054, 0.000, 4.054], [4.054, 4.054, 0.000]],
  "species": ["Ac", "La", "Pr", "Ag"],
  "frac_coords": [[0.000, 0.000, 0.000], [0.750, 0.750, 0.750], [0.250, 0.250, 0.250], [0.500, 0.500, 0.500]]
}

=====

4.
{
  "formula": "AcLaPrAg",
  "functional": "PBE",
  "state": "optimized geometry",
  "delta_e_f_ev_per_atom": -0.1095,
  "de_polymorph_mev_per_atom": 0,
  "lattice_angstrom": [[3.853, 0.000, 0.000], [0.000, 3.853, 0.000], [0.000, 0.000, 9.043]],
  "species": ["Ac", "La", "Pr", "Ag"],
  "frac_coords": [[0.000, 0.000, 0.000], [0.500, 0.500, 0.704], [0.500, 0.500, 0.292], [0.000, 0.000, 0.494]]
}

=====

5.
{
  "formula": "AcLaAgRh",
  "functional": "PBE",
  "state": "optimized geometry",
  "delta_e_f_ev_per_atom": -0.4115,
  "lattice_angstrom": [[0.000, 3.762, 3.762], [3.762, 0.000, 3.762], [3.762, 3.762, 0.000]],
  "species": ["Ac", "La", "Ag", "Rh"],
  "frac_coords": [[0.000, 0.000, 0.000], [0.500, 0.500, 0.500], [0.750, 0.750, 0.750], [0.250, 0.250, 0.250]]
}

=====

6.
{
  "formula": "Ac2La2Ag2Ru",
  "functional": "PBE",
  "state": "optimized geometry",
  "delta_e_f_ev_per_atom": -0.2230,
  "lattice_angstrom": [[7.767, -2.100, 0.000], [7.767, 2.100, 0.000], [-2.957, 0.000, 6.984]],
  "species": ["Ac", "Ac", "La", "La", "Ag", "Ag", "Ru"],
  "frac_coords": [[0.206, 0.206, 0.212], [0.794, 0.794, 0.788], [0.481, 0.481, 0.232], [0.519, 0.519, 0.768], [0.117, 0.117, 0.567], [0.883, 0.883, 0.433], [0.000, 0.000, 0.000]]
}

=====

| no. | size of the total moment (μB per formula unit) | VASP energy (eV per atom) |
| --- | --- | --- |
| 1 | 0.00 | -4.27 |
| 2 | 0.00 | -4.02 |
| 3 | 0.00 | -4.04 |
| 4 | 0.00 | -4.28 |
| 5 | 0.00 | -5.22 |
| 6 | 0.00 | -4.94 |